This record from the Open Quantum Materials Database describes a geometry-optimized LuTaAlCo structure. The functional is GGA-PBE.

Lattice parameters (Å, degrees): 6.481 6.481 6.481 90.00 90.00 90.00
Space group F-43m (No. 216)
Inequivalent atoms, fractional coordinates:
Lu 0.000 0.000 0.000
Ta 0.250 0.250 0.250
Al 0.000 0.000 0.500
Co 0.250 0.250 0.750

Summary:
The crystal system is cubic.

This record from the Open Quantum Materials Database describes a geometry-optimized RbTbCdS3 structure. The functional is GGA-PBE.

Lattice parameters (Å, degrees): 8.610 4.160 10.298 90.00 109.15 90.00
Space group P2_1/m (No. 11)
Inequivalent atoms, fractional coordinates:
Rb 0.241 0.250 0.254
Tb 0.322 0.750 0.870
Cd 0.084 0.250 0.614
S 0.100 0.250 0.860
S 0.228 0.750 0.558
S 0.470 0.750 0.142

Summary:
The crystal system is monoclinic.

This record from the Open Quantum Materials Database describes a geometry-optimized CsNbCuTe2Se structure. The functional is GGA-PBE.

Lattice parameters (Å, degrees): 3.952 17.263 10.327 90.00 90.00 90.00
Space group Cmcm (No. 63)
Inequivalent atoms, fractional coordinates:
Cs 0.000 0.238 0.250
Nb 0.000 0.500 0.000
Cu 0.000 0.028 0.750
Te 0.000 0.115 0.549
Se 0.000 0.445 0.750

Summary:
The crystal system is orthorhombic.

Volume values (in Å³/cell) by entry order: 272.2 348.4 704.5.
Calculated total energy values (in eV for the cell shown) by entry order: -105.34 -54.54 -110.89.